Record 1
First-principles (PBE) data for a relaxed structure of Sc2MnOs3, as listed in Alexandria.

**SG**: No. 166
**Total moment**: 2.25 μB per formula unit
**Formation energy**: -0.362 eV/atom
**DOS at the Fermi energy**: 5.4 states/eV per cell

POSCAR file:
```
Sc2MnOs3
1.0
4.618 -0.138 -2.430
-2.935 4.311 -0.221
-0.253 0.088 5.124
Sc Mn Os
2 1 3
direct
0.751 0.376 0.127
0.249 0.624 0.873
0.000 0.000 0.000
0.500 0.500 0.500
0.000 0.000 0.500
0.500 0.000 0.500
```


Record 2
First-principles (PBE) data for a relaxed structure of ScMnOs, as listed in Alexandria.

**ΔE to the lowest computed polymorph**: 559.9 meV per atom
**SG**: No. 156
**Total moment**: 2.01 μB per formula unit
**Formation energy**: 0.229 eV/atom
**DOS at the Fermi energy**: 2.8 states/eV per cell

POSCAR file:
```
ScMnOs
1.0
-1.279 -2.300 1.186
2.848 0.374 0.284
-0.996 3.395 5.506
Mn Os Sc
1 1 1
direct
0.000 0.000 0.017
0.667 0.333 0.314
0.333 0.667 0.669
```


Record 3
First-principles (PBE) data for a relaxed structure of ScMnOs, as listed in Alexandria.

**ΔE to the lowest computed polymorph**: 580.2 meV per atom
**SG**: No. 216
**Total moment**: 0.00 μB per formula unit
**Formation energy**: 0.250 eV/atom
**DOS at the Fermi energy**: 3.6 states/eV per cell

POSCAR file:
```
ScMnOs
1.0
-2.751 1.581 -2.651
-4.027 -0.028 0.938
-1.938 3.540 0.898
Mn Os Sc
1 1 1
direct
0.750 0.750 0.750
0.000 0.000 0.000
0.500 0.500 0.500
```


Record 4
First-principles (PBE) data for a relaxed structure of Sc2MnOs, as listed in Alexandria.

**ΔE to the lowest computed polymorph**: 177.6 meV per atom
**SG**: No. 119
**Total moment**: 3.29 μB per formula unit
**Formation energy**: -0.004 eV/atom
**DOS at the Fermi energy**: 4.2 states/eV per cell

POSCAR file:
```
Sc2MnOs
1.0
-2.367 0.112 4.760
-3.522 -3.837 1.073
4.968 0.297 -1.873
Mn Os Sc
1 1 2
direct
0.500 0.500 0.000
0.750 0.250 0.500
0.000 0.000 0.000
0.250 0.750 0.500
```